No. 1
The following is a PBE calculation of a relaxed Cu2Ag2Pd5 crystal, from the Alexandria database.

a = 4.806 Å, b = 4.835 Å, c = 7.324 Å
α = 82.91°, β = 122.31°, γ = 81.03°
Positions (direct):
Pd: 0.780 0.119 0.550
Pd: 0.220 0.881 0.450
Pd: 0.556 0.220 0.109
Pd: 0.000 0.000 0.000
Pd: 0.444 0.780 0.891
Ag: 0.885 0.556 0.768
Ag: 0.115 0.444 0.232
Cu: 0.341 0.324 0.672
Cu: 0.659 0.676 0.328

Computed properties:
Total magnetization: 0.000 μB/atom
Theoretical density: 10.55 g cm⁻³

=====

No. 2
The following is a PBE calculation of a relaxed NaHBr2 crystal, from the Alexandria database.

a = 4.568 Å, b = 4.568 Å, c = 12.728 Å
α = 90.00°, β = 90.00°, γ = 120.00°
Positions (direct):
Br: 0.667 0.333 0.884
Br: 0.333 0.667 0.384
Br: 0.667 0.333 0.616
Br: 0.333 0.667 0.116
Na: 0.000 0.000 0.000
Na: 0.000 0.000 0.500
H: 0.667 0.333 0.750
H: 0.333 0.667 0.250

Computed properties:
Total magnetization: 0.000 μB/atom
Theoretical density: 2.65 g cm⁻³

=====

No. 3
The following is a PBE calculation of a relaxed ErGa3PdPt crystal, from the Alexandria database.

a = 5.747 Å, b = 5.877 Å, c = 7.192 Å
α = 114.11°, β = 90.00°, γ = 90.00°
Positions (direct):
Ga: 0.750 0.855 0.710
Ga: 0.500 0.286 0.000
Ga: 0.500 0.714 0.000
Ga: 0.250 0.145 0.290
Ga: 0.000 0.714 0.000
Ga: 0.000 0.286 0.000
Er: 0.750 0.298 0.596
Er: 0.250 0.702 0.404
Pd: 0.250 0.343 0.687
Pd: 0.750 0.657 0.313
Pt: 0.750 0.094 0.187
Pt: 0.250 0.906 0.813

Computed properties:
Total magnetization: 0.000 μB/atom
Theoretical density: 10.15 g cm⁻³

=====

No. 4
The following is a PBE calculation of a relaxed SrNdMgSn crystal, from the Alexandria database.

a = 5.583 Å, b = 5.583 Å, c = 5.583 Å
α = 60.00°, β = 60.00°, γ = 60.00°
Positions (direct):
Sr: 0.500 0.500 0.500
Mg: 0.750 0.750 0.750
Nd: 0.000 0.000 0.000
Sn: 0.250 0.250 0.250

Computed properties:
Total magnetization: 0.000 μB/atom
Theoretical density: 5.06 g cm⁻³

=====

| no. | calculated total energy (eV per atom) |
| --- | --- |
| 1 | -4.462 |
| 2 | -2.894 |
| 3 | -4.719 |
| 4 | -3.375 |